The following is a PBE calculation of NbP3Pb after structural relaxation, from Alexandria via LeMat-Bulk.

Values from the calculation:
M_tot: 0.00 μB/cell
E_form: 0.20 eV per atom
Calculated volume: 116 Å³/cell
Theoretical density: 5.61 Mg/m³
Electronic total energy: -5.802 eV/atom
Space group: No. 221
ΔE to the lowest computed polymorph: 0.00 eV/f.u.

Lattice parameters (Å, degrees): 4.882 4.882 4.882 90.00 90.00 90.00
Fractional coordinates of all 5 atoms:
Pb1 0.500 0.500 0.500
P1 0.000 0.500 0.000
Nb1 0.000 0.000 0.000
P2 0.000 0.000 0.500
P3 0.500 0.000 0.000